Entry 1:
Compound: CrTcRuBr2
Source: the Alexandria database
Functional: PBE
Structure: optimized geometry

Output
- space group = P4/mmm
- VASP energy (eV per atom) = -4.794
- ρ (g/cm³) = 5.97
- spin magnetization (μB/atom) = 0.099
- crystal system = tetragonal
- N(E_F) (states/eV per cell) = 12.4
- formation energy (no corrections) (eV per atom) = 1.73

Cell: 4.9224 4.7191 4.9224 Å, 90.00 90.00 90.00°
With the nearest neighbours (Å) after each atom.
Atoms (fractional coordinates):
Br 0.0000 0.0000 0.5000  2 Tc 2.46
Tc 0.0000 0.0000 0.0000  2 Ru 2.36, 4 Br 2.46
Cr 0.5000 0.5000 0.5000  8 Br 3.41, 4 Ru 3.48
Br 0.5000 0.0000 0.0000  2 Tc 2.46
Ru 0.0000 0.5000 0.0000  2 Tc 2.36



Entry 2:
Compound: Pt3Br
Source: the Alexandria database
Functional: PBE
Structure: optimized geometry

Output
- space group = P-6m2
- energy relative to the lowest polymorph listed for this composition (meV per atom) = 91.8
- VASP energy (eV per atom) = -4.481
- ρ (g/cm³) = 13.28
- spin magnetization (μB/atom) = 0.000
- crystal system = hexagonal
- N(E_F) (states/eV per cell) = 8.6
- formation energy (no corrections) (eV per atom) = 0.47

Cell: 2.7662 2.7662 12.5507 Å, 90.00 90.00 120.00°
With the nearest neighbours (Å) after each atom.
Atoms (fractional coordinates):
Pt 0.6667 0.3333 0.3115  9 Pt 2.77-2.85
Br 0.0000 0.0000 0.0000  6 Br 2.77
Pt 0.6667 0.3333 0.6885  9 Pt 2.77-2.85
Pt 0.0000 0.0000 0.5000  12 Pt 2.77-2.85



Entry 3:
Compound: Ti2CuIr
Source: the Alexandria database
Functional: PBE
Structure: optimized geometry

Output
- space group = P4/mmm
- VASP energy (eV per atom) = -7.665
- ρ (g/cm³) = 9.87
- spin magnetization (μB/atom) = 0.000
- crystal system = tetragonal
- N(E_F) (states/eV per cell) = 4.1

Cell: 3.4357 4.1493 4.1493 Å, 90.00 90.00 90.00°
With the nearest neighbours (Å) after each atom.
Atoms (fractional coordinates):
Ti 0.0000 0.5000 0.0000  4 Cu 2.69, 4 Ir 2.69, 4 Ti 2.93
Ti 0.0000 0.0000 0.5000  4 Cu 2.69, 4 Ir 2.69, 4 Ti 2.93
Ir 0.5000 0.5000 0.5000  8 Ti 2.69, 4 Cu 2.93
Cu 0.5000 0.0000 0.0000  8 Ti 2.69, 4 Ir 2.93



Entry 4:
Compound: HgAuCl3
Source: the Alexandria database
Functional: PBE
Structure: optimized geometry

Output
- space group = Pm-3m
- energy relative to the lowest polymorph listed for this composition (meV per atom) = 297.6
- VASP energy (eV per atom) = -1.920
- ρ (g/cm³) = 6.48
- spin magnetization (μB/atom) = 0.000
- crystal system = cubic
- N(E_F) (states/eV per cell) = 4.8
- formation energy (no corrections) (eV per atom) = -0.10

Cell: 5.0540 5.0540 5.0540 Å, 90.00 90.00 90.00°
With the nearest neighbours (Å) after each atom.
Atoms (fractional coordinates):
Au 0.0000 0.0000 0.0000  6 Cl 2.53
Cl 0.5000 0.0000 0.0000  2 Au 2.53
Cl 0.0000 0.0000 0.5000  2 Au 2.53
Hg 0.5000 0.5000 0.5000  12 Cl 3.57
Cl 0.0000 0.5000 0.0000  2 Au 2.53